A geometry-optimized ZrTa2W structure. Source: the Alexandria database, functional PBE.

Calculated values
Density of states at the Fermi level = 1.05 states/eV/atom
Symmetry = Cmm2, No. 35
DFT formation energy = 1.857 kcal/mol of atoms
Offset from the most stable computed form = 0.16 eV/f.u.

Cell: 2.886 2.886 9.537 Å, 90.00 90.00 110.78°
Fractional positions:
Zr (0.000, 0.000, 0.000)
Ta (0.000, 0.000, 0.481)
Ta (0.500, 0.500, 0.726)
W (0.500, 0.500, 0.251)



A geometry-optimized ZrTa2W structure. Source: the Alexandria database, functional PBE.

Calculated values
Density of states at the Fermi level = 1.24 states/eV/atom
Symmetry = Cmmm, No. 65
DFT formation energy = 1.515 kcal/mol of atoms
Offset from the most stable computed form = 0.10 eV/f.u.

Cell: 2.900 2.900 9.567 Å, 90.00 90.00 111.82°
Fractional positions:
Zr (0.000, 0.000, 0.000)
Ta (0.500, 0.500, 0.271)
Ta (0.500, 0.500, 0.729)
W (0.000, 0.000, 0.500)



A geometry-optimized ZrTaW2 structure. Source: the Alexandria database, functional PBE.

Calculated values
Density of states at the Fermi level = 1.15 states/eV/atom
Symmetry = Pm, No. 6
DFT formation energy = 2.117 kcal/mol of atoms
Offset from the most stable computed form = 0.20 eV/f.u.

Cell: 2.876 4.618 5.480 Å, 90.00 100.65 90.00°
Fractional positions:
Zr (0.000, 0.000, 0.000)
Ta (0.725, 0.500, 0.259)
W (0.252, 0.500, 0.741)
W (0.482, 0.000, 0.507)



A geometry-optimized ZrTaW14 structure. Source: the Alexandria database, functional PBE.

Calculated values
Density of states at the Fermi level = 0.32 states/eV/atom
Symmetry = Cmmm, No. 65
DFT formation energy = -0.506 kcal/mol of atoms

Cell: 5.554 5.554 9.095 Å, 90.00 90.00 109.60°
Fractional positions:
Zr (0.000, 0.000, 0.000)
Ta (0.500, 0.500, 0.000)
W (0.000, 0.000, 0.500)
W (0.000, 0.500, 0.000)
W (0.000, 0.500, 0.500)
W (0.251, 0.251, 0.257)
W (0.251, 0.251, 0.743)
W (0.251, 0.749, 0.252)
W (0.251, 0.749, 0.748)
W (0.500, 0.000, 0.000)
W (0.500, 0.000, 0.500)
W (0.500, 0.500, 0.500)
W (0.749, 0.251, 0.252)
W (0.749, 0.251, 0.748)
W (0.749, 0.749, 0.257)
W (0.749, 0.749, 0.743)



A geometry-optimized ZrTaW2 structure. Source: the Alexandria database, functional PBE.

Calculated values
Density of states at the Fermi level = 0.95 states/eV/atom
Symmetry = I-42d, No. 122
DFT formation energy = 19.703 kcal/mol of atoms
Offset from the most stable computed form = 3.25 eV/f.u.

Cell: 5.967 5.967 5.967 Å, 102.71 102.71 124.06°
Fractional positions:
Zr (0.000, 0.000, 0.000)
Zr (0.750, 0.250, 0.500)
Ta (0.250, 0.750, 0.500)
Ta (0.500, 0.500, 0.000)
W (0.141, 0.625, 0.016)
W (0.375, 0.391, 0.516)
W (0.609, 0.125, 0.984)
W (0.875, 0.859, 0.484)



A geometry-optimized ZrTa2W structure. Source: the Alexandria database, functional PBE.

Calculated values
Density of states at the Fermi level = 1.42 states/eV/atom
Symmetry = C2/m, No. 12
DFT formation energy = 2.607 kcal/mol of atoms
Offset from the most stable computed form = 0.29 eV/f.u.

Cell: 5.526 5.526 2.878 Å, 99.96 99.96 116.97°
Fractional positions:
Zr (0.000, 0.000, 0.000)
Ta (0.000, 0.500, 0.500)
Ta (0.500, 0.000, 0.500)
W (0.500, 0.500, 0.000)



Number 1: density 14.2 g/cm3. Number 2: density 14.2 g/cm3. Number 3: density 14.9 g/cm3. Number 4: density 17.9 g/cm3. Number 5: density 13.7 g/cm3. Number 6: density 14.3 g/cm3.